No. 1
## Tb2Dy3Er6Pb (PBE)

Data for crystalline Tb2Dy3Er6Pb at its relaxed geometry.

Values from the calculation:
DFT formation energy ... -0.05 eV per atom

a b c (Å): 6.058 6.058 11.622
angles (deg): 95.02 95.02 120.03
Element x y z (fractional)
Tb1 0.166 0.834 0.000
Tb2 0.834 0.166 0.000
Dy1 0.000 0.000 0.500
Dy2 0.333 0.667 0.500
Dy3 0.667 0.333 0.500
Er1 0.089 0.418 0.751
Er2 0.253 0.253 0.250
Er3 0.418 0.089 0.751
Er4 0.582 0.911 0.249
Er5 0.747 0.747 0.750
Er6 0.911 0.582 0.249
Pb1 0.500 0.500 0.000



No. 2
## Sm3ScSe6 (PBE)

Data for crystalline Sm3ScSe6 at its relaxed geometry.

Values from the calculation:
Relative energy among the computed polymorphs ... 0.0000 eV/atom
ΔE_f (raw) ... -1818 meV/atom

a b c (Å): 8.399 8.399 8.399
angles (deg): 91.16 91.16 91.16
Element x y z (fractional)
Sm1 0.073 0.580 0.748
Sm2 0.252 0.927 0.420
Sm3 0.420 0.252 0.927
Sm4 0.580 0.748 0.073
Sm5 0.748 0.073 0.580
Sm6 0.927 0.420 0.252
Sc1 0.000 0.000 0.000
Sc2 0.500 0.500 0.500
Se1 0.044 0.917 0.693
Se2 0.083 0.307 0.956
Se3 0.196 0.580 0.417
Se4 0.307 0.956 0.083
Se5 0.417 0.196 0.580
Se6 0.420 0.583 0.804
Se7 0.580 0.417 0.196
Se8 0.583 0.804 0.420
Se9 0.693 0.044 0.917
Se10 0.804 0.420 0.583
Se11 0.917 0.693 0.044
Se12 0.956 0.083 0.307



No. 3
## LaSc3Sn (PBE)

Data for crystalline LaSc3Sn at its relaxed geometry.

Values from the calculation:
DFT formation energy ... 0.22 eV per atom
Relative energy among the computed polymorphs ... 0.0000 eV/atom

a b c (Å): 5.446 5.446 5.446
angles (deg): 90.00 90.00 90.00
Element x y z (fractional)
La1 0.000 0.000 0.000
Sc1 0.000 0.500 0.500
Sc2 0.500 0.000 0.500
Sc3 0.500 0.500 0.000
Sn1 0.500 0.500 0.500



No. 4
## GdErTlNi (PBE)

Data for crystalline GdErTlNi at its relaxed geometry.

Values from the calculation:
DFT formation energy ... -0.24 eV per atom

a b c (Å): 5.121 5.121 5.121
angles (deg): 60.00 60.00 60.00
Element x y z (fractional)
Gd1 0.000 0.000 0.000
Er1 0.500 0.500 0.500
Tl1 0.250 0.250 0.250
Ni1 0.750 0.750 0.750



Number 1: magnetization 0.00 μB per cell. Number 2: magnetization 0.00 μB per cell. Number 3: magnetization 2.36 μB per cell. Number 4: magnetization 7.20 μB per cell.